(1)
DFT (PBEsol) results for crystalline CaRe2Pb at its relaxed geometry.

a = 3.400 Å, b = 4.462 Å, c = 9.893 Å
α = 90.00°, β = 90.00°, γ = 90.00°
Space group Immm (No. 71)
Inequivalent atoms, fractional coordinates:
Ca 0.000 0.000 0.000 [2 per cell]
Re 0.000 0.500 0.251 [4 per cell]
Pb 0.000 0.000 0.500 [2 per cell]

Values from the calculation:
- Magnetic moment: 0.00 μB/cell
- DOS(E_F): 4.00 states/eV/f.u.
- Uncorrected energy: -7.25 eV/atom

(2)
DFT (PBEsol) results for crystalline MnP2F at its relaxed geometry.

a = 5.029 Å, b = 5.029 Å, c = 10.461 Å
α = 90.00°, β = 90.00°, γ = 90.00°
Space group I-42d (No. 122)
Inequivalent atoms, fractional coordinates:
Mn 0.000 0.000 0.000 [4 per cell]
P 0.198 0.250 0.125 [8 per cell]
F 0.000 0.000 0.500 [4 per cell]

Values from the calculation:
- Distance to the lowest polymorph of the same formula: 143 meV per atom
- Magnetic moment: 0.00 μB/cell
- DOS(E_F): 1.66 states/eV/f.u.
- Raw formation energy: -0.43 eV/f.u.
- Uncorrected energy: -5.93 eV/atom

(3)
DFT (PBEsol) results for crystalline CaRh2 at its relaxed geometry.

a = 7.435 Å, b = 7.435 Å, c = 7.435 Å
α = 90.00°, β = 90.00°, γ = 90.00°
Space group Fd-3m (No. 227, origin choice 2)
Inequivalent atoms, fractional coordinates:
Ca 0.125 0.125 0.125 [8 per cell]
Rh 0.000 0.000 0.500 [16 per cell]

Values from the calculation:
- Magnetic moment: 0.01 μB/cell
- DOS(E_F): 3.63 states/eV/f.u.
- Uncorrected energy: -6.50 eV/atom

(4)
DFT (PBEsol) results for crystalline Zn3PtRh at its relaxed geometry.

a = 4.604 Å, b = 4.604 Å, c = 4.604 Å
α = 90.00°, β = 90.00°, γ = 90.00°
Space group Pm-3m (No. 221)
Inequivalent atoms, fractional coordinates:
Zn 0.000 0.000 0.500 [3 per cell]
Pt 0.000 0.000 0.000 [1 per cell]
Rh 0.500 0.500 0.500 [1 per cell]

Values from the calculation:
- Distance to the lowest polymorph of the same formula: 0 meV per atom
- Magnetic moment: 0.00 μB/cell
- DOS(E_F): 3.72 states/eV/f.u.
- Uncorrected energy: -3.36 eV/atom

(5)
DFT (PBEsol) results for crystalline LaSiAgAs2 at its relaxed geometry.

a = 4.908 Å, b = 4.908 Å, c = 4.609 Å
α = 90.00°, β = 90.00°, γ = 90.00°
Space group P4/mmm (No. 123)
Inequivalent atoms, fractional coordinates:
La 0.000 0.000 0.000 [1 per cell]
Si 0.500 0.500 0.500 [1 per cell]
Ag 0.500 0.500 0.000 [1 per cell]
As 0.000 0.500 0.500 [2 per cell]

Values from the calculation:
- Magnetic moment: 0.00 μB/cell
- DOS(E_F): 2.72 states/eV/f.u.
- Raw formation energy: -1.07 eV/f.u.
- Uncorrected energy: -5.14 eV/atom

(6)
DFT (PBEsol) results for crystalline NaCa3Mg3FeSi8O24 at its relaxed geometry.

a = 5.275 Å, b = 8.885 Å, c = 9.708 Å
α = 90.00°, β = 105.05°, γ = 90.00°
Space group P2 (No. 3)
Inequivalent atoms, fractional coordinates:
Na 0.000 0.000 0.000 [1 per cell]
Ca 0.000 0.897 0.500 [1 per cell]
Ca 0.500 0.396 0.000 [1 per cell]
Ca 0.500 0.497 0.500 [1 per cell]
Mg 0.000 0.288 0.500 [1 per cell]
Mg 0.000 0.607 0.000 [1 per cell]
Mg 0.500 0.107 0.500 [1 per cell]
Fe 0.500 0.803 0.000 [1 per cell]
Si 0.194 0.605 0.713 [2 per cell]
Si 0.195 0.290 0.212 [2 per cell]
Si 0.304 0.105 0.787 [2 per cell]
Si 0.309 0.793 0.286 [2 per cell]
O 0.102 0.214 0.851 [2 per cell]
O 0.104 0.681 0.349 [2 per cell]
O 0.206 0.450 0.138 [2 per cell]
O 0.210 0.446 0.639 [2 per cell]
O 0.221 0.107 0.615 [2 per cell]
O 0.233 0.781 0.114 [2 per cell]
O 0.278 0.286 0.385 [2 per cell]
O 0.281 0.614 0.886 [2 per cell]
O 0.290 0.950 0.361 [2 per cell]
O 0.301 0.942 0.861 [2 per cell]
O 0.394 0.716 0.646 [2 per cell]
O 0.404 0.185 0.148 [2 per cell]

Values from the calculation:
- Magnetic moment: 5.00 μB/cell
- Raw formation energy: -111.88 eV/f.u.
- Uncorrected energy: -7.64 eV/atom

(7)
DFT (PBEsol) results for crystalline NaYBiRh2 at its relaxed geometry.

a = 4.835 Å, b = 4.835 Å, c = 5.190 Å
α = 90.00°, β = 90.00°, γ = 90.00°
Space group P4/mmm (No. 123)
Inequivalent atoms, fractional coordinates:
Na 0.000 0.000 0.000 [1 per cell]
Y 0.000 0.000 0.500 [1 per cell]
Bi 0.500 0.500 0.000 [1 per cell]
Rh 0.000 0.500 0.500 [2 per cell]

Values from the calculation:
- Magnetic moment: 0.00 μB/cell
- DOS(E_F): 4.25 states/eV/f.u.
- Uncorrected energy: -4.97 eV/atom

(8)
DFT (PBEsol) results for crystalline Na2Nd2B2O7 at its relaxed geometry.

a = 10.756 Å, b = 6.417 Å, c = 10.420 Å
α = 90.00°, β = 117.73°, γ = 90.00°
Space group P2_1/c (No. 14)
Inequivalent atoms, fractional coordinates:
Na 0.023 0.056 0.259 [4 per cell]
Na 0.111 0.721 0.049 [4 per cell]
Nd 0.312 0.082 0.910 [4 per cell]
Nd 0.482 0.538 0.180 [4 per cell]
B 0.178 0.245 0.577 [4 per cell]
B 0.289 0.654 0.852 [4 per cell]
O 0.097 0.174 0.941 [4 per cell]
O 0.123 0.143 0.656 [4 per cell]
O 0.181 0.744 0.867 [4 per cell]
O 0.325 0.235 0.135 [4 per cell]
O 0.346 0.742 0.273 [4 per cell]
O 0.347 0.038 0.412 [4 per cell]
O 0.473 0.624 0.597 [4 per cell]

Values from the calculation:
- Magnetic moment: 0.00 μB/cell
- DOS(E_F): 0.00 states/eV/f.u.
- Raw formation energy: -35.87 eV/f.u.
- Uncorrected energy: -7.68 eV/atom

(9)
DFT (PBEsol) results for crystalline NbMo3P at its relaxed geometry.

a = 4.690 Å, b = 4.690 Å, c = 4.690 Å
α = 90.00°, β = 90.00°, γ = 90.00°
Space group Pm-3m (No. 221)
Inequivalent atoms, fractional coordinates:
Nb 0.000 0.000 0.000 [1 per cell]
Mo 0.000 0.000 0.500 [3 per cell]
P 0.500 0.500 0.500 [1 per cell]

Values from the calculation:
- Distance to the lowest polymorph of the same formula: 1700 meV per atom
- Magnetic moment: 0.02 μB/cell
- DOS(E_F): 6.57 states/eV/f.u.
- Uncorrected energy: -8.20 eV/atom

(10)
DFT (PBEsol) results for crystalline TcMoHO2 at its relaxed geometry.

a = 3.891 Å, b = 3.891 Å, c = 3.561 Å
α = 90.00°, β = 90.00°, γ = 90.00°
Space group P4/mmm (No. 123)
Inequivalent atoms, fractional coordinates:
Tc 0.000 0.000 0.000 [1 per cell]
Mo 0.500 0.500 0.500 [1 per cell]
H 0.500 0.500 0.000 [1 per cell]
O 0.000 0.500 0.500 [2 per cell]

Values from the calculation:
- Magnetic moment: 3.59 μB/cell
- DOS(E_F): 3.14 states/eV/f.u.
- Uncorrected energy: -7.45 eV/atom

(11)
DFT (PBEsol) results for crystalline CaFeC3 at its relaxed geometry.

a = 3.780 Å, b = 3.780 Å, c = 3.780 Å
α = 90.00°, β = 90.00°, γ = 90.00°
Space group Pm-3m (No. 221)
Inequivalent atoms, fractional coordinates:
Ca 0.000 0.000 0.000 [1 per cell]
Fe 0.500 0.500 0.500 [1 per cell]
C 0.000 0.500 0.500 [3 per cell]

Values from the calculation:
- Distance to the lowest polymorph of the same formula: 0 meV per atom
- Magnetic moment: 1.83 μB/cell
- DOS(E_F): 3.49 states/eV/f.u.
- Uncorrected energy: -6.79 eV/atom

(12)
DFT (PBEsol) results for crystalline SrTi2AgHg at its relaxed geometry.

a = 5.058 Å, b = 5.058 Å, c = 5.889 Å
α = 90.00°, β = 90.00°, γ = 90.00°
Space group P4/mmm (No. 123)
Inequivalent atoms, fractional coordinates:
Sr 0.000 0.000 0.000 [1 per cell]
Ti 0.000 0.500 0.500 [2 per cell]
Ag 0.500 0.500 0.000 [1 per cell]
Hg 0.000 0.000 0.500 [1 per cell]

Values from the calculation:
- Magnetic moment: 3.39 μB/cell
- DOS(E_F): 5.55 states/eV/f.u.
- Uncorrected energy: -3.56 eV/atom

(13)
DFT (PBEsol) results for crystalline RuRh at its relaxed geometry.

a = 9.700 Å, b = 2.682 Å, c = 4.663 Å
α = 90.00°, β = 118.17°, γ = 90.00°
Space group C2/m (No. 12)
Inequivalent atoms, fractional coordinates:
Ru 0.127 0.000 0.293 [4 per cell]
Rh 0.123 0.500 0.792 [4 per cell]

Values from the calculation:
- Magnetic moment: 0.00 μB/cell
- DOS(E_F): 2.11 states/eV/f.u.
- Uncorrected energy: -9.13 eV/atom

(14)
DFT (PBEsol) results for crystalline KCaTa2 at its relaxed geometry.

a = 5.625 Å, b = 11.897 Å, c = 2.895 Å
α = 90.00°, β = 109.95°, γ = 90.00°
Space group C2/m (No. 12)
Inequivalent atoms, fractional coordinates:
K 0.000 0.000 0.000 [2 per cell]
Ca 0.000 0.500 0.000 [2 per cell]
Ta 0.250 0.250 0.500 [4 per cell]

Values from the calculation:
- Distance to the lowest polymorph of the same formula: 555 meV per atom
- Magnetic moment: 0.00 μB/cell
- DOS(E_F): 3.50 states/eV/f.u.
- Uncorrected energy: -5.90 eV/atom

(15)
DFT (PBEsol) results for crystalline Li2MnOF3 at its relaxed geometry.

a = 3.001 Å, b = 5.094 Å, c = 9.236 Å
α = 90.00°, β = 90.51°, γ = 90.00°
Space group Pc (No. 7)
Inequivalent atoms, fractional coordinates:
Li 0.000 0.222 0.000 [2 per cell]
Li 0.011 0.227 0.367 [2 per cell]
Mn 0.501 0.263 0.692 [2 per cell]
O 0.000 0.141 0.790 [2 per cell]
F 0.009 0.427 0.554 [2 per cell]
F 0.501 0.013 0.036 [2 per cell]
F 0.508 0.389 0.288 [2 per cell]

Values from the calculation:
- Distance to the lowest polymorph of the same formula: 59 meV per atom
- Magnetic moment: 8.00 μB/cell
- DOS(E_F): 2.42 states/eV/f.u.
- Raw formation energy: -17.07 eV/f.u.
- Uncorrected energy: -5.97 eV/atom

(16)
DFT (PBEsol) results for crystalline Na2PPt2 at its relaxed geometry.

a = 6.099 Å, b = 6.099 Å, c = 4.904 Å
α = 90.00°, β = 90.00°, γ = 90.00°
Space group P4/mbm (No. 127)
Inequivalent atoms, fractional coordinates:
Na 0.168 0.332 0.000 [4 per cell]
P 0.000 0.000 0.500 [2 per cell]
Pt 0.156 0.656 0.500 [4 per cell]

Values from the calculation:
- Magnetic moment: 0.00 μB/cell
- DOS(E_F): 2.22 states/eV/f.u.
- Uncorrected energy: -4.84 eV/atom

(17)
DFT (PBEsol) results for crystalline ScNi2Te at its relaxed geometry.

a = 4.009 Å, b = 4.009 Å, c = 3.770 Å
α = 90.00°, β = 90.00°, γ = 90.00°
Space group P4/mmm (No. 123)
Inequivalent atoms, fractional coordinates:
Sc 0.000 0.000 0.000 [1 per cell]
Ni 0.000 0.500 0.500 [2 per cell]
Te 0.500 0.500 0.000 [1 per cell]

Values from the calculation:
- Magnetic moment: 0.00 μB/cell
- DOS(E_F): 1.87 states/eV/f.u.
- Raw formation energy: -1.70 eV/f.u.
- Uncorrected energy: -6.04 eV/atom

(18)
DFT (PBEsol) results for crystalline HgBiS2Cl at its relaxed geometry.

a = 5.193 Å, b = 5.193 Å, c = 5.243 Å
α = 90.00°, β = 90.00°, γ = 90.00°
Space group P4/mmm (No. 123)
Inequivalent atoms, fractional coordinates:
Hg 0.000 0.000 0.000 [1 per cell]
Bi 0.500 0.500 0.500 [1 per cell]
S 0.000 0.500 0.500 [2 per cell]
Cl 0.500 0.500 0.000 [1 per cell]

Values from the calculation:
- Magnetic moment: 0.00 μB/cell
- DOS(E_F): 3.66 states/eV/f.u.
- Raw formation energy: 0.97 eV/f.u.
- Uncorrected energy: -2.93 eV/atom

(19)
DFT (PBEsol) results for crystalline DyIn3 at its relaxed geometry.

a = 4.547 Å, b = 4.547 Å, c = 4.547 Å
α = 90.00°, β = 90.00°, γ = 90.00°
Space group Pm-3m (No. 221)
Inequivalent atoms, fractional coordinates:
Dy 0.000 0.000 0.000 [1 per cell]
In 0.000 0.500 0.500 [3 per cell]

Values from the calculation:
- Magnetic moment: 0.00 μB/cell
- DOS(E_F): 1.90 states/eV/f.u.
- Uncorrected energy: -3.96 eV/atom

(20)
DFT (PBEsol) results for crystalline UCl5 at its relaxed geometry.

a = 6.512 Å, b = 7.115 Å, c = 9.795 Å
α = 107.87°, β = 91.03°, γ = 115.97°
Space group P-1 (No. 2)
Inequivalent atoms, fractional coordinates:
U 0.105 0.213 0.213 [2 per cell]
Cl 0.071 0.812 0.570 [2 per cell]
Cl 0.114 0.609 0.849 [2 per cell]
Cl 0.243 0.181 0.955 [2 per cell]
Cl 0.311 0.013 0.254 [2 per cell]
Cl 0.447 0.576 0.330 [2 per cell]

Values from the calculation:
- Magnetic moment: 2.00 μB/cell
- DOS(E_F): 4.63 states/eV/f.u.
- Raw formation energy: -9.13 eV/f.u.
- Uncorrected energy: -5.22 eV/atom